[1]
Compound: NaTa2AgCl
Source: Alexandria
Functional: PBE
Structure: optimized geometry

Results
Raw formation energy (kJ/mol of formula units): 426.4
Space-group type: No. 123
Electronic total energy (eV per atom): -5.06

Cell: 4.5437 4.5437 4.8878 Å, 90.00 90.00 90.00°
With the nearest neighbours (Å) after each atom.
Sites, in units of the cell vectors:
1 Na 0.0000 0.0000 0.0000  2 Cl 2.44
2 Ta 0.0000 0.5000 0.5000  2 Cl 2.27
3 Ta 0.5000 0.0000 0.5000  2 Cl 2.27
4 Ag 0.5000 0.5000 0.0000  4 Na 3.21, 8 Ta 3.34
5 Cl 0.0000 0.0000 0.5000  4 Ta 2.27, 2 Na 2.44



[2]
Compound: NaTbAg2Cl6
Source: Alexandria
Functional: PBE
Structure: optimized geometry

Results
Raw formation energy (kJ/mol of formula units): -1397.1
Space-group type: No. 1
Electronic total energy (eV per atom): -3.72

Cell: 6.9302 6.9344 7.4754 Å, 90.01 117.60 119.96°
With the nearest neighbours (Å) after each atom.
Sites, in units of the cell vectors:
1 Na 0.0000 0.0000 0.0000  6 Cl 2.80-2.89
2 Tb 0.9912 0.4957 0.4866  6 Cl 2.67-2.68
3 Ag 0.5966 0.2983 0.8944  6 Cl 2.71-2.94
4 Ag 0.6020 0.8015 0.4035  6 Cl 2.69-2.96
5 Cl 0.1156 0.4068 0.2207  1 Tb 2.68, 2 Ag 2.69-2.94, 1 Na 2.80
6 Cl 0.1199 0.2340 0.7104  1 Tb 2.67, 2 Ag 2.71-2.96, 1 Na 2.89
7 Cl 0.4767 0.8856 0.7104  1 Tb 2.67, 2 Ag 2.71-2.95, 1 Na 2.88
8 Cl 0.5124 0.1062 0.2212  1 Tb 2.68, 2 Ag 2.69-2.94, 1 Na 2.80
9 Cl 0.8144 0.7092 0.2213  1 Tb 2.68, 2 Ag 2.69-2.94, 1 Na 2.80
10 Cl 0.8255 0.5914 0.7111  1 Tb 2.67, 2 Ag 2.71-2.96, 1 Na 2.88



[3]
Compound: Na2TbAgCl6
Source: Alexandria
Functional: PBE
Structure: optimized geometry

Results
Raw formation energy (kJ/mol of formula units): -1663.9
Space-group type: No. 1
Electronic total energy (eV per atom): -3.84

Cell: 7.0094 7.0124 7.4561 Å, 61.99 89.98 60.06°
With the nearest neighbours (Å) after each atom.
Sites, in units of the cell vectors:
1 Na 0.0000 0.0000 0.0000  6 Cl 2.80-2.94
2 Na 0.4911 0.0175 0.4743  6 Cl 2.80-2.88
3 Tb 0.7992 0.4017 0.3981  6 Cl 2.65-2.70
4 Ag 0.2863 0.4271 0.8608  6 Cl 2.70-2.98
5 Cl 0.0659 0.2443 0.1789  1 Tb 2.65, 2 Na 2.80-2.87, 1 Ag 2.96
6 Cl 0.1828 0.2294 0.6703  1 Tb 2.70, 1 Ag 2.71, 2 Na 2.80-2.93
7 Cl 0.4228 0.5116 0.1789  1 Tb 2.65, 2 Na 2.81-2.88, 1 Ag 2.96
8 Cl 0.5882 0.5130 0.6708  1 Tb 2.70, 1 Ag 2.70, 2 Na 2.80-2.94
9 Cl 0.6905 0.8866 0.1794  1 Tb 2.65, 2 Na 2.80-2.87
10 Cl 0.8983 0.9189 0.6701  1 Tb 2.69, 1 Ag 2.71, 2 Na 2.80-2.93



[4]
Compound: NaTcAgCl6
Source: Alexandria
Functional: PBE
Structure: optimized geometry

Results
Raw formation energy (kJ/mol of formula units): -765.8
Space-group type: No. 163
Electronic total energy (eV per atom): -3.73

Cell: 6.6864 6.6864 11.5330 Å, 90.00 90.00 120.00°
With the nearest neighbours (Å) after each atom.
Sites, in units of the cell vectors:
1 Na 0.3333 0.6667 0.2500  6 Cl 2.77
2 Na 0.6667 0.3333 0.7500  6 Cl 2.77
3 Tc 0.3333 0.6667 0.7500  6 Cl 2.39
4 Tc 0.6667 0.3333 0.2500  6 Cl 2.39
5 Ag 0.0000 0.0000 0.0000  6 Cl 2.80
6 Ag 0.0000 0.0000 0.5000  6 Cl 2.80
7 Cl 0.0447 0.3746 0.6298  1 Tc 2.39
8 Cl 0.0447 0.6700 0.8702  1 Tc 2.39
9 Cl 0.3300 0.3746 0.8702  1 Tc 2.39
10 Cl 0.3300 0.9553 0.6298  1 Tc 2.39
11 Cl 0.3746 0.0447 0.1298  1 Tc 2.39
12 Cl 0.3746 0.3300 0.3702  1 Tc 2.39
13 Cl 0.6254 0.6700 0.6298  1 Tc 2.39
14 Cl 0.6254 0.9553 0.8702  1 Tc 2.39
15 Cl 0.6700 0.0447 0.3702  1 Tc 2.39
16 Cl 0.6700 0.6254 0.1298  1 Tc 2.39
17 Cl 0.9553 0.3300 0.1298  1 Tc 2.39
18 Cl 0.9553 0.6254 0.3702  1 Tc 2.39



[5]
Compound: NaTcAg2Cl8
Source: Alexandria
Functional: PBE
Structure: optimized geometry

Results
Raw formation energy (kJ/mol of formula units): -867.2
Space-group type: No. 10
Electronic total energy (eV per atom): -3.43

Cell: 6.6139 7.7886 6.9007 Å, 90.00 114.83 90.00°
With the nearest neighbours (Å) after each atom.
Sites, in units of the cell vectors:
1 Na 0.0000 0.0000 0.0000  6 Cl 2.78-2.81
2 Tc 0.0000 0.5000 0.0000  6 Cl 2.36-2.40
3 Ag 0.0000 0.2339 0.5000  4 Cl 2.54-2.70
4 Ag 0.0000 0.7661 0.5000  4 Cl 2.54-2.70
5 Cl 0.1856 0.5000 0.7673  1 Tc 2.40
6 Cl 0.2355 0.0000 0.7478  2 Ag 2.54, 1 Na 2.78
7 Cl 0.2462 0.2880 0.2175  1 Tc 2.36
8 Cl 0.2462 0.7120 0.2175  1 Tc 2.36
9 Cl 0.7538 0.2880 0.7825  1 Tc 2.36
10 Cl 0.7538 0.7120 0.7825  1 Tc 2.36
11 Cl 0.7645 0.0000 0.2522  2 Ag 2.54, 1 Na 2.78
12 Cl 0.8144 0.5000 0.2327  1 Tc 2.40



[6]
Compound: NaThAgCl6
Source: Alexandria
Functional: PBE
Structure: optimized geometry

Results
Raw formation energy (kJ/mol of formula units): -1479.3
Space-group type: No. 102
Electronic total energy (eV per atom): -4.22

Cell: 6.5839 6.5839 12.3677 Å, 90.00 90.00 90.00°
With the nearest neighbours (Å) after each atom.
Sites, in units of the cell vectors:
1 Na 0.0000 0.0000 0.0000  6 Cl 2.83-2.87
2 Na 0.5000 0.5000 0.5000  6 Cl 2.83-2.87
3 Th 0.0000 0.0000 0.6629  6 Cl 2.69-2.71
4 Th 0.5000 0.5000 0.1629  6 Cl 2.69-2.71
5 Ag 0.0000 0.0000 0.3299  6 Cl 2.80-2.82
6 Ag 0.5000 0.5000 0.8299  6 Cl 2.80-2.82
7 Cl 0.1960 0.1960 0.5015  1 Th 2.70, 1 Ag 2.80, 1 Na 2.83
8 Cl 0.1974 0.1974 0.8220  1 Th 2.69, 1 Ag 2.82, 1 Na 2.87
9 Cl 0.2089 0.2089 0.1672  1 Th 2.71, 1 Ag 2.80, 1 Na 2.84
10 Cl 0.2911 0.7089 0.6672  1 Th 2.71, 1 Ag 2.80, 1 Na 2.84
11 Cl 0.3026 0.6974 0.3220  1 Th 2.69, 1 Ag 2.82, 1 Na 2.87
12 Cl 0.3040 0.6960 0.0015  1 Th 2.70, 1 Ag 2.80, 1 Na 2.83
13 Cl 0.6960 0.3040 0.0015  1 Th 2.70, 1 Ag 2.80, 1 Na 2.83
14 Cl 0.6974 0.3026 0.3220  1 Th 2.69, 1 Ag 2.82, 1 Na 2.87
15 Cl 0.7089 0.2911 0.6672  1 Th 2.71, 1 Ag 2.80, 1 Na 2.84
16 Cl 0.7911 0.7911 0.1672  1 Th 2.71, 1 Ag 2.80, 1 Na 2.84
17 Cl 0.8026 0.8026 0.8220  1 Th 2.69, 1 Ag 2.82, 1 Na 2.87
18 Cl 0.8040 0.8040 0.5015  1 Th 2.70, 1 Ag 2.80, 1 Na 2.83



[7]
Compound: NaTiAgCl6
Source: Alexandria
Functional: PBE
Structure: optimized geometry

Results
Raw formation energy (kJ/mol of formula units): -1158.3
Space-group type: No. 149
Electronic total energy (eV per atom): -3.91

Cell: 6.6934 6.6934 6.0481 Å, 90.00 90.00 120.00°
With the nearest neighbours (Å) after each atom.
Sites, in units of the cell vectors:
1 Na 0.0000 0.0000 0.0000  6 Cl 2.92
2 Ti 0.6667 0.3333 0.5000  6 Cl 2.37
3 Ag 0.3333 0.6667 0.5000  6 Cl 2.75
4 Cl 0.3803 0.0430 0.7274  1 Ti 2.37
5 Cl 0.3803 0.3373 0.2726  1 Ti 2.37
6 Cl 0.6627 0.0430 0.2726  1 Ti 2.37
7 Cl 0.6627 0.6197 0.7274  1 Ti 2.37
8 Cl 0.9570 0.3373 0.7274  1 Ti 2.37
9 Cl 0.9570 0.6197 0.2726  1 Ti 2.37



[8]
Compound: NaTlAgCl6
Source: Alexandria
Functional: PBE
Structure: optimized geometry

Results
Raw formation energy (kJ/mol of formula units): -671.7
Space-group type: No. 163
Electronic total energy (eV per atom): -2.73

Cell: 6.7396 6.7396 12.5326 Å, 90.00 90.00 120.00°
With the nearest neighbours (Å) after each atom.
Sites, in units of the cell vectors:
1 Na 0.0000 0.0000 0.0000  6 Cl 2.91
2 Na 0.0000 0.0000 0.5000  6 Cl 2.91
3 Tl 0.3333 0.6667 0.2500  6 Cl 2.64
4 Tl 0.6667 0.3333 0.7500  6 Cl 2.64
5 Ag 0.3333 0.6667 0.7500  6 Cl 2.63
6 Ag 0.6667 0.3333 0.2500  6 Cl 2.63
7 Cl 0.0006 0.3576 0.6309  1 Ag 2.63, 1 Tl 2.64, 1 Na 2.91
8 Cl 0.0006 0.6431 0.8691  1 Ag 2.63, 1 Tl 2.64, 1 Na 2.91
9 Cl 0.3569 0.3576 0.8691  1 Ag 2.63, 1 Tl 2.64, 1 Na 2.91
10 Cl 0.3569 0.9994 0.6309  1 Ag 2.63, 1 Tl 2.64, 1 Na 2.91
11 Cl 0.3576 0.0006 0.1309  1 Ag 2.63, 1 Tl 2.64, 1 Na 2.91
12 Cl 0.3576 0.3569 0.3691  1 Ag 2.63, 1 Tl 2.64, 1 Na 2.91
13 Cl 0.6424 0.6431 0.6309  1 Ag 2.63, 1 Tl 2.64, 1 Na 2.91
14 Cl 0.6424 0.9994 0.8691  1 Ag 2.63, 1 Tl 2.64, 1 Na 2.91
15 Cl 0.6431 0.0006 0.3691  1 Ag 2.63, 1 Tl 2.64, 1 Na 2.91
16 Cl 0.6431 0.6424 0.1309  1 Ag 2.63, 1 Tl 2.64, 1 Na 2.91
17 Cl 0.9994 0.3569 0.1309  1 Ag 2.63, 1 Tl 2.64, 1 Na 2.91
18 Cl 0.9994 0.6424 0.3691  1 Ag 2.63, 1 Tl 2.64, 1 Na 2.91



[9]
Compound: NaTl2Ag2Cl7
Source: Alexandria
Functional: PBE
Structure: optimized geometry

Results
Raw formation energy (kJ/mol of formula units): -911.9
Space-group type: No. 12
Electronic total energy (eV per atom): -2.84

Cell: 5.1382 5.1382 13.2300 Å, 101.16 101.16 89.95°
With the nearest neighbours (Å) after each atom.
Sites, in units of the cell vectors:
1 Na 0.0000 0.0000 0.0000  12 Cl 3.47-3.63
2 Tl 0.1893 0.1893 0.3595  5 Cl 3.11-3.45
3 Tl 0.8107 0.8107 0.6405  5 Cl 3.11-3.45
4 Ag 0.4027 0.4027 0.8033  6 Cl 2.50-2.58
5 Ag 0.5973 0.5973 0.1967  6 Cl 2.50-2.58
6 Cl 0.0903 0.5912 0.1829  2 Ag 2.57-2.58
7 Cl 0.3093 0.3093 0.6037  1 Ag 2.54
8 Cl 0.4088 0.9097 0.8171  2 Ag 2.57-2.58
9 Cl 0.5000 0.5000 0.0000  2 Ag 2.50
10 Cl 0.5912 0.0903 0.1829  2 Ag 2.57-2.58
11 Cl 0.6907 0.6907 0.3963  1 Ag 2.54
12 Cl 0.9097 0.4088 0.8171  2 Ag 2.57-2.58



[10]
Compound: NaTlAg2Cl8
Source: Alexandria
Functional: PBE
Structure: optimized geometry

Results
Raw formation energy (kJ/mol of formula units): -618.2
Space-group type: No. 119
Electronic total energy (eV per atom): -2.55

Cell: 7.6285 7.6285 7.6285 Å, 109.92 109.92 108.58°
With the nearest neighbours (Å) after each atom.
Sites, in units of the cell vectors:
1 Na 0.0000 0.0000 0.0000  4 Cl 2.81
2 Tl 0.2500 0.7500 0.5000  4 Cl 2.65
3 Ag 0.5000 0.5000 0.0000  4 Cl 2.53
4 Ag 0.7500 0.2500 0.5000  4 Cl 2.43
5 Cl 0.2964 0.0954 0.7989  1 Ag 2.53, 1 Tl 2.65
6 Cl 0.2964 0.4975 0.2011  1 Ag 2.53, 1 Tl 2.65
7 Cl 0.3619 0.0443 0.3176  1 Ag 2.43
8 Cl 0.5025 0.7036 0.7989  1 Ag 2.53, 1 Tl 2.65
9 Cl 0.7267 0.0443 0.6824  1 Ag 2.43
10 Cl 0.9046 0.7036 0.2011  1 Ag 2.53, 1 Tl 2.65
11 Cl 0.9557 0.2733 0.3176  1 Ag 2.43
12 Cl 0.9557 0.6381 0.6824  1 Ag 2.43



Please write out number 3 again, unchanged.
Compound: Na2TbAgCl6
Source: Alexandria
Functional: PBE
Structure: optimized geometry

Results
Raw formation energy (kJ/mol of formula units): -1663.9
Space-group type: No. 1
Electronic total energy (eV per atom): -3.84

Cell: 7.0094 7.0124 7.4561 Å, 61.99 89.98 60.06°
With the nearest neighbours (Å) after each atom.
Sites, in units of the cell vectors:
1 Na 0.0000 0.0000 0.0000  6 Cl 2.80-2.94
2 Na 0.4911 0.0175 0.4743  6 Cl 2.80-2.88
3 Tb 0.7992 0.4017 0.3981  6 Cl 2.65-2.70
4 Ag 0.2863 0.4271 0.8608  6 Cl 2.70-2.98
5 Cl 0.0659 0.2443 0.1789  1 Tb 2.65, 2 Na 2.80-2.87, 1 Ag 2.96
6 Cl 0.1828 0.2294 0.6703  1 Tb 2.70, 1 Ag 2.71, 2 Na 2.80-2.93
7 Cl 0.4228 0.5116 0.1789  1 Tb 2.65, 2 Na 2.81-2.88, 1 Ag 2.96
8 Cl 0.5882 0.5130 0.6708  1 Tb 2.70, 1 Ag 2.70, 2 Na 2.80-2.94
9 Cl 0.6905 0.8866 0.1794  1 Tb 2.65, 2 Na 2.80-2.87
10 Cl 0.8983 0.9189 0.6701  1 Tb 2.69, 1 Ag 2.71, 2 Na 2.80-2.93



Question: What is the formula in the fourth record?
Answer: NaTcAgCl6



Question: Among the records above, which one has the lowest raw formation energy?
Answer: Na2TbAgCl6